Compound: Al3Ga3Pb
Source: Alexandria
Functional: PBE
Structure: relaxed

Values from the calculation:
Formation energy   0.4513 eV/atom

Cell: 7.1415 7.1415 7.1415 Å, 90.00 90.00 90.00°
Positions (direct):
Al 0.0000 0.2500 0.5000
Al 0.0000 0.7500 0.5000
Al 0.2500 0.5000 0.0000
Al 0.5000 0.0000 0.2500
Al 0.5000 0.0000 0.7500
Al 0.7500 0.5000 0.0000
Ga 0.0000 0.5000 0.2500
Ga 0.0000 0.5000 0.7500
Ga 0.2500 0.0000 0.5000
Ga 0.5000 0.2500 0.0000
Ga 0.5000 0.7500 0.0000
Ga 0.7500 0.0000 0.5000
Pb 0.0000 0.0000 0.0000
Pb 0.5000 0.5000 0.5000


Compound: Cr2ReBr
Source: Alexandria
Functional: PBE
Structure: relaxed

Values from the calculation:
Uncorrected formation energy   0.65 eV per atom

Cell: 8.5748 8.5748 8.5748 Å, 19.86 19.86 19.86°
Positions (direct):
Cr 0.0000 0.0000 0.0000
Cr 0.2580 0.2580 0.2580
Re 0.7369 0.7369 0.7369
Br 0.5161 0.5161 0.5161


Compound: TbPm2ErTm4
Source: Alexandria
Functional: PBE
Structure: relaxed

Values from the calculation:
Formation energy   0.0236 eV/atom

Cell: 5.0169 5.0305 9.9359 Å, 90.00 90.00 90.00°
Positions (direct):
Tb 0.0000 0.0000 0.0000
Pm 0.0000 0.0000 0.5000
Pm 0.5000 0.5000 0.0000
Er 0.5000 0.5000 0.5000
Tm 0.0000 0.5000 0.2508
Tm 0.0000 0.5000 0.7492
Tm 0.5000 0.0000 0.2505
Tm 0.5000 0.0000 0.7495


Compound: Ca2TbBr
Source: Alexandria
Functional: PBE
Structure: relaxed

Values from the calculation:
Uncorrected formation energy   -0.56 eV per atom

Cell: 3.6427 3.6427 9.8787 Å, 90.00 90.00 90.00°
Positions (direct):
Ca 0.0000 0.0000 0.2270
Ca 0.0000 0.0000 0.7730
Tb 0.5000 0.5000 0.5000
Br 0.5000 0.5000 0.0000


Compound: AcTb15Dy4
Source: Alexandria
Functional: PBE
Structure: relaxed

Values from the calculation:
Formation energy   0.0261 eV/atom

Cell: 5.0580 5.0580 25.3004 Å, 90.00 90.00 90.00°
Positions (direct):
Ac 0.0000 0.0000 0.0000
Tb 0.0000 0.5000 0.1049
Tb 0.0000 0.5000 0.3023
Tb 0.0000 0.5000 0.5000
Tb 0.0000 0.5000 0.6977
Tb 0.0000 0.5000 0.8951
Tb 0.5000 0.0000 0.1049
Tb 0.5000 0.0000 0.3023
Tb 0.5000 0.0000 0.5000
Tb 0.5000 0.0000 0.6977
Tb 0.5000 0.0000 0.8951
Tb 0.5000 0.5000 0.0000
Tb 0.5000 0.5000 0.2039
Tb 0.5000 0.5000 0.4011
Tb 0.5000 0.5000 0.5989
Tb 0.5000 0.5000 0.7961
Dy 0.0000 0.0000 0.2028
Dy 0.0000 0.0000 0.4011
Dy 0.0000 0.0000 0.5989
Dy 0.0000 0.0000 0.7972


Compound: CrMo2HW
Source: Alexandria
Functional: PBE
Structure: relaxed

Values from the calculation:
E_tot   -0.6891 Ry/atom

Cell: 4.3328 4.3328 3.3324 Å, 90.00 90.00 90.00°
Positions (direct):
Cr 0.0000 0.0000 0.0000
Mo 0.0000 0.5000 0.5000
Mo 0.5000 0.0000 0.5000
H 0.0000 0.0000 0.5000
W 0.5000 0.5000 0.0000


Compound: Pa2TaMnN5
Source: Alexandria
Functional: PBE
Structure: relaxed

Values from the calculation:
Uncorrected formation energy   -1.24 eV per atom

Cell: 6.6638 6.6638 10.1844 Å, 90.00 90.00 151.95°
Positions (direct):
Pa 0.1044 0.8956 0.5000
Pa 0.1433 0.8567 0.1286
Pa 0.8567 0.1433 0.6286
Pa 0.8956 0.1044 0.0000
Ta 0.1963 0.8037 0.8288
Ta 0.8037 0.1963 0.3288
Mn 0.4695 0.5305 0.2774
Mn 0.5305 0.4695 0.7774
N 0.0488 0.9512 0.8911
N 0.2818 0.7182 0.4782
N 0.3224 0.6776 0.1904
N 0.3665 0.6335 0.8171
N 0.4879 0.5121 0.5978
N 0.5121 0.4879 0.0978
N 0.6335 0.3665 0.3171
N 0.6776 0.3224 0.6904
N 0.7182 0.2818 0.9782
N 0.9512 0.0488 0.3911


Compound: Ac8Pr3Tm2
Source: Alexandria
Functional: PBE
Structure: relaxed

Values from the calculation:
Formation energy   0.2318 eV/atom

Cell: 9.2969 9.2969 7.2766 Å, 98.09 98.09 64.58°
Positions (direct):
Ac 0.0647 0.6938 0.0711
Ac 0.0881 0.0881 0.3701
Ac 0.3006 0.3006 0.6832
Ac 0.3062 0.9353 0.9289
Ac 0.6938 0.0647 0.0711
Ac 0.6994 0.6994 0.3168
Ac 0.9119 0.9119 0.6299
Ac 0.9353 0.3062 0.9289
Pr 0.3382 0.6618 0.5000
Pr 0.5000 0.5000 0.0000
Pr 0.6618 0.3382 0.5000
Tm 0.3069 0.3069 0.2005
Tm 0.6931 0.6931 0.7995


Compound: BeNi2Rh
Source: Alexandria
Functional: PBE
Structure: relaxed

Values from the calculation:
Formation energy   -0.1036 eV/atom

Cell: 2.5853 3.5361 4.9197 Å, 90.00 90.00 90.00°
Positions (direct):
Be 0.0000 0.0000 0.0000
Ni 0.5000 0.5000 0.2359
Ni 0.5000 0.5000 0.7641
Rh 0.0000 0.0000 0.5000


Compound: Sb2SBr
Source: Alexandria
Functional: PBE
Structure: relaxed

Values from the calculation:
Uncorrected formation energy   0.02 eV per atom

Cell: 9.7254 9.7254 9.7254 Å, 148.95 148.95 44.49°
Positions (direct):
Sb 0.0346 0.6250 0.9096
Sb 0.3750 0.2846 0.4096
Sb 0.7154 0.1250 0.0904
Sb 0.8750 0.9654 0.5904
S 0.0000 0.0000 0.0000
S 0.7500 0.2500 0.5000
Br 0.2500 0.7500 0.5000
Br 0.5000 0.5000 0.0000


Compound: Tb6Bi2Sb3Te
Source: Alexandria
Functional: PBE
Structure: relaxed

Values from the calculation:
Uncorrected formation energy   -1.12 eV per atom

Cell: 9.8932 9.8932 8.8622 Å, 102.93 102.93 25.86°
Positions (direct):
Tb 0.0014 0.0014 0.2438
Tb 0.3314 0.3314 0.4202
Tb 0.3348 0.3348 0.9134
Tb 0.6652 0.6652 0.0866
Tb 0.6686 0.6686 0.5798
Tb 0.9986 0.9986 0.7562
Bi 0.1663 0.1663 0.8322
Bi 0.8337 0.8337 0.1678
Sb 0.1660 0.1660 0.3336
Sb 0.5000 0.5000 0.0000
Sb 0.8340 0.8340 0.6664
Te 0.5000 0.5000 0.5000


Compound: Sc7Al2Au2
Source: Alexandria
Functional: PBE
Structure: relaxed

Values from the calculation:
Formation energy   -0.2068 eV/atom

Cell: 6.3047 6.3047 6.8950 Å, 90.00 90.00 108.09°
Positions (direct):
Sc 0.0000 0.0000 0.0000
Sc 0.0000 0.5000 0.2787
Sc 0.0000 0.5000 0.7213
Sc 0.5000 0.0000 0.2787
Sc 0.5000 0.0000 0.7213
Sc 0.5000 0.5000 0.2644
Sc 0.5000 0.5000 0.7356
Al 0.1741 0.1741 0.5000
Al 0.8259 0.8259 0.5000
Au 0.2903 0.7097 0.0000
Au 0.7097 0.2903 0.0000


Compound: NaFeI3
Source: Alexandria
Functional: PBE
Structure: relaxed

Values from the calculation:
Uncorrected formation energy   -0.32 eV per atom

Cell: 5.6344 5.6344 5.6344 Å, 90.00 90.00 90.00°
Positions (direct):
Na 0.0000 0.0000 0.0000
Fe 0.5000 0.5000 0.5000
I 0.0000 0.5000 0.5000
I 0.5000 0.0000 0.5000
I 0.5000 0.5000 0.0000


Compound: Ac2Zn6Cu9
Source: Alexandria
Functional: PBE
Structure: relaxed

Values from the calculation:
Formation energy   -0.0475 eV/atom

Cell: 5.3940 5.3940 12.1558 Å, 90.00 90.00 120.00°
Positions (direct):
Ac 0.0000 0.0000 0.1851
Ac 0.0000 0.0000 0.8149
Zn 0.3333 0.6667 0.1648
Zn 0.3333 0.6667 0.5000
Zn 0.3333 0.6667 0.8352
Zn 0.6667 0.3333 0.1648
Zn 0.6667 0.3333 0.5000
Zn 0.6667 0.3333 0.8352
Cu 0.0000 0.5000 0.0000
Cu 0.0000 0.5000 0.3366
Cu 0.0000 0.5000 0.6634
Cu 0.5000 0.0000 0.0000
Cu 0.5000 0.0000 0.3366
Cu 0.5000 0.0000 0.6634
Cu 0.5000 0.5000 0.0000
Cu 0.5000 0.5000 0.3366
Cu 0.5000 0.5000 0.6634


Compound: Li4LaCd8
Source: Alexandria
Functional: PBE
Structure: relaxed

Values from the calculation:
Formation energy   -0.2622 eV/atom

Cell: 7.6308 7.6308 7.6308 Å, 96.95 96.95 139.29°
Positions (direct):
Li 0.0000 0.0000 0.5000
Li 0.0000 0.5000 0.0000
Li 0.5000 0.0000 0.0000
Li 0.5000 0.5000 0.5000
La 0.0000 0.0000 0.0000
Cd 0.0000 0.3507 0.3507
Cd 0.0000 0.6493 0.6493
Cd 0.2845 0.5000 0.7845
Cd 0.3507 0.0000 0.3507
Cd 0.5000 0.2845 0.7845
Cd 0.5000 0.7155 0.2155
Cd 0.6493 0.0000 0.6493
Cd 0.7155 0.5000 0.2155


Compound: PdAu3Br
Source: Alexandria
Functional: PBE
Structure: relaxed

Values from the calculation:
Uncorrected formation energy   0.77 eV per atom

Cell: 5.0789 5.0789 5.0789 Å, 90.00 90.00 90.00°
Positions (direct):
Pd 0.0000 0.0000 0.0000
Au 0.0000 0.0000 0.5000
Au 0.0000 0.5000 0.0000
Au 0.5000 0.0000 0.0000
Br 0.5000 0.5000 0.5000


Compound: Pr4SiAs2Br
Source: Alexandria
Functional: PBE
Structure: relaxed

Values from the calculation:
Uncorrected formation energy   -1.29 eV per atom

Cell: 7.4525 4.3120 7.4891 Å, 90.00 109.05 90.00°
Positions (direct):
Pr 0.2352 0.0000 0.2306
Pr 0.2467 0.5000 0.7582
Pr 0.7533 0.5000 0.2418
Pr 0.7648 0.0000 0.7694
Si 0.5000 0.0000 0.0000
As 0.0000 0.0000 0.5000
As 0.0000 0.5000 0.0000
Br 0.5000 0.5000 0.5000


Compound: OsSe2Cl
Source: Alexandria
Functional: PBE
Structure: relaxed

Values from the calculation:
Uncorrected formation energy   0.53 eV per atom

Cell: 3.0264 3.0264 11.2244 Å, 90.00 90.00 122.75°
Positions (direct):
Os 0.0000 0.0000 0.0000
Se 0.0000 0.0000 0.4874
Se 0.5000 0.5000 0.1786
Cl 0.5000 0.5000 0.8246


Compound: InPdPtPb
Source: Alexandria
Functional: PBE
Structure: relaxed

Values from the calculation:
Formation energy   -0.2427 eV/atom

Cell: 4.8091 4.8091 4.8091 Å, 60.00 60.00 60.00°
Positions (direct):
In 0.0000 0.0000 0.0000
Pd 0.2500 0.2500 0.2500
Pt 0.7500 0.7500 0.7500
Pb 0.5000 0.5000 0.5000


Compound: BaPrGeAu
Source: Alexandria
Functional: PBE
Structure: relaxed

Values from the calculation:
Formation energy   -0.5764 eV/atom

Cell: 5.4972 5.4972 5.4972 Å, 60.00 60.00 60.00°
Positions (direct):
Ba 0.0000 0.0000 0.0000
Pr 0.5000 0.5000 0.5000
Ge 0.7500 0.7500 0.7500
Au 0.2500 0.2500 0.2500


Compound: ScZnTc
Source: Alexandria
Functional: PBE
Structure: relaxed

Values from the calculation:
Formation energy   -0.1387 eV/atom

Cell: 4.5542 4.5542 5.4057 Å, 90.00 90.00 120.00°
Positions (direct):
Sc 0.3333 0.6667 0.0964
Sc 0.6667 0.3333 0.9036
Zn 0.0000 0.0000 0.2646
Zn 0.0000 0.0000 0.7354
Tc 0.3333 0.6667 0.5675
Tc 0.6667 0.3333 0.4325


Compound: Ga2TeOs4
Source: Alexandria
Functional: PBE
Structure: relaxed

Values from the calculation:
Uncorrected formation energy   1.95 eV per atom

Cell: 7.1865 7.1865 7.1865 Å, 141.09 141.09 56.19°
Positions (direct):
Ga 0.1100 0.1100 0.0000
Ga 0.8900 0.8900 0.0000
Te 0.5000 0.5000 0.0000
Os 0.0000 0.5000 0.5000
Os 0.2994 0.2994 0.0000
Os 0.5000 0.0000 0.5000
Os 0.7006 0.7006 0.0000


Compound: ErTm6Th2
Source: Alexandria
Functional: PBE
Structure: relaxed

Values from the calculation:
Formation energy   0.1464 eV/atom

Cell: 9.4557 9.4557 6.5363 Å, 98.12 98.12 97.51°
Positions (direct):
Er 0.1106 0.8894 0.7500
Er 0.8894 0.1106 0.2500
Tm 0.0454 0.2299 0.8124
Tm 0.0632 0.4546 0.2758
Tm 0.2299 0.0454 0.3124
Tm 0.2710 0.6543 0.9924
Tm 0.3457 0.7290 0.5076
Tm 0.4546 0.0632 0.7758
Tm 0.5454 0.9368 0.2242
Tm 0.6543 0.2710 0.4924
Tm 0.7290 0.3457 0.0076
Tm 0.7701 0.9546 0.6876
Tm 0.9368 0.5454 0.7242
Tm 0.9546 0.7701 0.1876
Th 0.3424 0.3885 0.6207
Th 0.3885 0.3424 0.1207
Th 0.6115 0.6576 0.8793
Th 0.6576 0.6115 0.3793